First-principles (PBE) data for BaLiMgP after structural relaxation, as listed in Alexandria via LeMat-Bulk.

Properties
As for the total magnetic moment: 0.0 μB per formula unit. The energy comes out at -3.2124 eV per atom.

Structure (extended XYZ):
```
8
Lattice="4.327 0.000 0.000 0.000 4.327 0.000 0.000 0.000 12.248" Properties=species:S:1:pos:R:3 pbc="T T T"
Ba 3.245 3.245 2.544
Ba 1.082 1.082 9.704
Li 3.245 1.082 0.000
Li 1.082 3.245 0.000
Mg 1.082 3.245 6.124
Mg 3.245 1.082 6.124
P 3.245 3.245 10.826
P 1.082 1.082 1.423
```